[1]
DFT (PBE) results for crystalline ReTcAu2 at its relaxed geometry.

abc: 2.837 2.837 8.200
angles: 90.00 90.00 90.00
Space group P4mm (No. 99)
Symmetry-distinct sites (fractional):
Re: 0.000 0.000 0.000 (multiplicity 1)
Tc: 0.500 0.500 0.202 (multiplicity 1)
Au: 0.000 0.000 0.464 (multiplicity 1)
Au: 0.500 0.500 0.739 (multiplicity 1)

Energy of formation from the pure elements = 0.1940 eV/atom
DFT total energy = -7.148 eV per atom
D(E_F) = 3.00 states/eV/cell

***

[2]
DFT (PBE) results for crystalline BeRhCl2 at its relaxed geometry.

abc: 6.327 6.327 6.327
angles: 90.00 90.00 90.00
Space group F-43m (No. 216)
Symmetry-distinct sites (fractional):
Be: 0.000 0.000 0.000 (multiplicity 4)
Rh: 0.250 0.250 0.250 (multiplicity 4)
Cl: 0.000 0.000 0.500 (multiplicity 4)
Cl: 0.250 0.250 0.750 (multiplicity 4)

DFT total energy = -2.970 eV per atom
D(E_F) = 19.15 states/eV/cell

***

[3]
DFT (PBE) results for crystalline KLiNb4N8 at its relaxed geometry.

abc: 6.4620 6.4620 15.5856
angles: 90.00 90.00 120.00
Space group R3m (No. 160, hexagonal axes)
Symmetry-distinct sites (fractional):
K: 0.0000 0.0000 0.0000 (multiplicity 3)
Li: 0.0000 0.0000 0.5929 (multiplicity 3)
Nb: 0.0000 0.0000 0.2255 (multiplicity 3)
Nb: 0.1752 0.3504 0.4398 (multiplicity 9)
N: 0.0000 0.0000 0.3565 (multiplicity 3)
N: 0.0000 0.0000 0.8434 (multiplicity 3)
N: 0.0121 0.5061 0.8376 (multiplicity 9)
N: 0.0852 0.5426 0.3625 (multiplicity 9)

DFT total energy = -8.192 eV per atom

***

[4]
DFT (PBE) results for crystalline SbTe2OF at its relaxed geometry.

abc: 4.725 4.725 4.843
angles: 90.00 90.00 90.00
Space group P4/mmm (No. 123)
Symmetry-distinct sites (fractional):
Sb: 0.000 0.000 0.000 (multiplicity 1)
Te: 0.000 0.500 0.500 (multiplicity 2)
O: 0.000 0.000 0.500 (multiplicity 1)
F: 0.500 0.500 0.000 (multiplicity 1)

DFT total energy = -3.547 eV per atom
D(E_F) = 2.92 states/eV/cell

***

[5]
DFT (PBE) results for crystalline HfGe2Cl at its relaxed geometry.

abc: 6.859 6.859 6.859
angles: 90.00 90.00 90.00
Space group Fm-3m (No. 225)
Symmetry-distinct sites (fractional):
Hf: 0.000 0.000 0.000 (multiplicity 4)
Ge: 0.250 0.250 0.250 (multiplicity 8)
Cl: 0.000 0.000 0.500 (multiplicity 4)

DFT total energy = -4.972 eV per atom
D(E_F) = 15.99 states/eV/cell

***

[6]
DFT (PBE) results for crystalline AgPd2Rh at its relaxed geometry.

abc: 2.7951 2.7951 27.6355
angles: 90.00 90.00 120.00
Space group R-3m (No. 166, hexagonal axes)
Symmetry-distinct sites (fractional):
Ag: 0.0000 0.0000 0.0000 (multiplicity 3)
Pd: 0.0000 0.0000 0.2470 (multiplicity 6)
Rh: 0.0000 0.0000 0.5000 (multiplicity 3)

Energy of formation from the pure elements = 0.0581 eV/atom
DFT total energy = -5.089 eV per atom
D(E_F) = 19.09 states/eV/cell